[1]
Entry from Alexandria via LeMat-Bulk: TlReBi2W after structural relaxation (PBE-GGA).

Values from the calculation:
Symmetry: P4/mmm, No. 123

a b c (Å): 5.354 5.416 5.354
angles (deg): 90.00 90.00 90.00
Fractional positions:
Re 0.500 0.500 0.500
Tl 0.000 0.500 0.000
Bi 0.000 0.000 0.500
Bi 0.500 0.000 0.000
W 0.000 0.000 0.000

---

[2]
Entry from Alexandria via LeMat-Bulk: Ba3PdBr3 after structural relaxation (PBE-GGA).

Values from the calculation:
E_form (uncorrected): -1.493 eV per atom
Symmetry: Imma, No. 74

a b c (Å): 9.558 9.558 10.063
angles (deg): 58.22 58.22 56.22
Fractional positions:
Ba 0.988 0.988 0.762
Ba 0.500 0.000 0.226
Ba 0.000 0.500 0.226
Ba 0.500 0.000 0.774
Ba 0.000 0.500 0.774
Ba 0.012 0.012 0.238
Pd 0.234 0.234 0.017
Pd 0.766 0.766 0.983
Br 0.239 0.239 0.511
Br 0.241 0.759 0.500
Br 0.759 0.241 0.500
Br 0.241 0.759 0.000
Br 0.759 0.241 0.000
Br 0.761 0.761 0.489

---

[3]
Entry from Alexandria via LeMat-Bulk: Na2AlCr2S6 after structural relaxation (PBE-GGA).

Values from the calculation:
E_form (uncorrected): -0.916 eV per atom
Symmetry: C2/m, No. 12

a b c (Å): 6.001 6.001 7.057
angles (deg): 97.98 97.98 119.59
Fractional positions:
Na 0.829 0.171 0.000
Na 0.171 0.829 0.000
Al 0.000 0.000 0.500
Cr 0.339 0.661 0.500
Cr 0.661 0.339 0.500
S 0.733 0.733 0.702
S 0.060 0.398 0.693
S 0.267 0.267 0.298
S 0.398 0.060 0.693
S 0.940 0.602 0.307
S 0.602 0.940 0.307

---

[4]
Entry from Alexandria via LeMat-Bulk: ReBPC after structural relaxation (PBE-GGA).

Values from the calculation:
Distance to the lowest polymorph of the same formula: 232 meV/atom
Symmetry: Pmm2, No. 25

a b c (Å): 3.130 2.806 5.280
angles (deg): 90.00 90.00 90.00
Fractional positions:
Re 0.500 0.000 0.833
C 0.000 0.000 0.502
B 0.000 0.500 0.638
P 0.000 0.000 0.162

---

[5]
Entry from Alexandria via LeMat-Bulk: Ni2GeB2 after structural relaxation (PBE-GGA).

Values from the calculation:
Distance to the lowest polymorph of the same formula: 71 meV/atom
Symmetry: P4/mbm, No. 127

a b c (Å): 5.638 5.638 3.077
angles (deg): 90.00 90.00 90.00
Fractional positions:
Ni 0.211 0.711 0.500
Ni 0.711 0.789 0.500
Ni 0.789 0.289 0.500
Ni 0.289 0.211 0.500
Ge 0.000 0.000 0.000
Ge 0.500 0.500 0.000
B 0.397 0.897 0.000
B 0.897 0.603 0.000
B 0.603 0.103 0.000
B 0.103 0.397 0.000

---

[6]
Entry from Alexandria via LeMat-Bulk: Mn2AlTe after structural relaxation (PBE-GGA).

Values from the calculation:
Distance to the lowest polymorph of the same formula: 130 meV/atom
E_form (uncorrected): 0.242 eV per atom
Symmetry: Fm-3m, No. 225

a b c (Å): 4.278 4.278 4.278
angles (deg): 60.00 60.00 60.00
Fractional positions:
Te 0.500 0.500 0.500
Al 0.000 0.000 0.000
Mn 0.250 0.250 0.250
Mn 0.750 0.750 0.750

---

[7]
Entry from Alexandria via LeMat-Bulk: LaMg2RhPb after structural relaxation (PBE-GGA).

Values from the calculation:
Distance to the lowest polymorph of the same formula: 0 meV/atom
Symmetry: P4/mmm, No. 123

a b c (Å): 5.090 5.090 5.313
angles (deg): 90.00 90.00 90.00
Fractional positions:
Pb 0.500 0.500 0.500
Mg 0.000 0.500 0.000
Mg 0.500 0.000 0.000
Rh 0.000 0.000 0.000
La 0.000 0.000 0.500

---

[8]
Entry from Alexandria via LeMat-Bulk: K2TcSnO6 after structural relaxation (PBE-GGA).

Values from the calculation:
E_form (uncorrected): -1.504 eV per atom
Symmetry: Fm-3m, No. 225

a b c (Å): 5.696 5.696 5.696
angles (deg): 60.00 60.00 60.00
Fractional positions:
K 0.750 0.750 0.750
K 0.250 0.250 0.250
Tc 0.500 0.500 0.500
Sn 0.000 0.000 0.000
O 0.259 0.741 0.741
O 0.259 0.741 0.259
O 0.259 0.259 0.741
O 0.741 0.741 0.259
O 0.741 0.259 0.259
O 0.741 0.259 0.741

---

[9]
Entry from Alexandria via LeMat-Bulk: Nd2Ni2Ag3 after structural relaxation (PBE-GGA).

Values from the calculation:
Symmetry: Cmmm, No. 65

a b c (Å): 3.732 3.908 10.092
angles (deg): 101.16 90.00 90.00
Fractional positions:
Nd 0.000 0.836 0.673
Nd 0.000 0.164 0.327
Ni 0.500 0.713 0.427
Ni 0.500 0.287 0.573
Ag 0.500 0.570 0.141
Ag 0.500 0.430 0.859
Ag 0.000 0.000 0.000

---

[10]
Entry from Alexandria via LeMat-Bulk: La8Ir3PtAu4 after structural relaxation (PBE-GGA).

Values from the calculation:
Symmetry: R-3m, No. 166

a b c (Å): 8.536 8.724 8.537
angles (deg): 119.30 120.00 90.00
Fractional positions:
La 0.244 0.721 0.977
La 0.244 0.721 0.487
La 0.260 0.281 0.521
La 0.734 0.721 0.977
La 0.266 0.279 0.023
La 0.740 0.719 0.479
La 0.756 0.279 0.513
La 0.756 0.279 0.023
Ir 0.500 0.500 0.000
Ir 0.500 0.500 0.500
Ir 0.000 0.500 0.500
Pt 0.000 0.500 0.000
Au 0.500 0.000 0.000
Au 0.500 0.000 0.500
Au 0.000 0.000 0.000
Au 0.000 0.000 0.500

---

[11]
Entry from Alexandria via LeMat-Bulk: CaY2Mg2 after structural relaxation (PBE-GGA).

Values from the calculation:
Distance to the lowest polymorph of the same formula: 83 meV/atom
Symmetry: P4/mbm, No. 127

a b c (Å): 9.226 9.226 3.616
angles (deg): 90.00 90.00 90.00
Fractional positions:
Y 0.171 0.671 0.500
Y 0.671 0.829 0.500
Y 0.829 0.329 0.500
Y 0.329 0.171 0.500
Ca 0.000 0.000 0.000
Ca 0.500 0.500 0.000
Mg 0.378 0.878 0.000
Mg 0.878 0.622 0.000
Mg 0.622 0.122 0.000
Mg 0.122 0.378 0.000

---

[12]
Entry from Alexandria via LeMat-Bulk: Nd6P2PbS3 after structural relaxation (PBE-GGA).

Values from the calculation:
E_form (uncorrected): -1.608 eV per atom
Symmetry: C2/m, No. 12

a b c (Å): 4.173 8.450 9.377
angles (deg): 102.54 102.86 90.00
Fractional positions:
Nd 0.326 0.904 0.652
Nd 0.670 0.579 0.339
Nd 0.674 0.096 0.348
Nd 0.003 0.271 0.005
Nd 0.997 0.729 0.995
Nd 0.330 0.421 0.661
P 0.832 0.664 0.664
P 0.168 0.336 0.336
Pb 0.500 0.000 0.000
S 0.500 0.500 0.000
S 0.835 0.168 0.669
S 0.165 0.832 0.331

---

| no. | VASP energy (eV/atom) |
| --- | --- |
| 1 | -5.32 |
| 2 | -3.78 |
| 3 | -5.50 |
| 4 | -8.10 |
| 5 | -5.70 |
| 6 | -6.06 |
| 7 | -4.18 |
| 8 | -6.14 |
| 9 | -4.48 |
| 10 | -6.17 |
| 11 | -3.59 |
| 12 | -6.23 |